Record 1
Computed, not measured: a relaxed structure of BeHgPd2N at the GGA-PBE level of DFT.

It has space group P4/mmm (No. 123), with a = 4.216 Å, b = 4.216 Å, c = 4.562 Å, α = 90.00°, β = 90.00° and γ = 90.00°. The distinct sites, in fractional coordinates, are Be at (0.000, 0.000, 0.000), Hg at (0.000, 0.000, 0.500), Pd at (0.000, 0.500, 0.000) and N at (0.500, 0.500, 0.500).

The value obtained for the uncorrected formation energy is 1.131 eV/atom. For the spin magnetization, the calculation gives 1.5 μB/cell. For the density of states at the Fermi level, the calculation gives 0.599 states/eV per atom.



Record 2
Computed, not measured: a relaxed structure of BeHgSN2 at the GGA-PBE level of DFT.

It has space group P4/mmm (No. 123), with a = 4.032 Å, b = 4.032 Å, c = 6.072 Å, α = 90.00°, β = 90.00° and γ = 90.00°. The distinct sites, in fractional coordinates, are Be at (0.000, 0.000, 0.000), Hg at (0.500, 0.500, 0.500), S at (0.500, 0.500, 0.000) and N at (0.000, 0.500, 0.500).

The energy relative to the lowest polymorph listed for this composition comes out at 1.0604 eV per atom. The value obtained for the uncorrected formation energy is 2.224 eV/atom. For the spin magnetization, the calculation gives 3.0 μB/cell. For the density of states at the Fermi level, the calculation gives 0.274 states/eV per atom.



Record 3
Computed, not measured: a relaxed structure of BeHgSN2 at the GGA-PBE level of DFT.

It has space group P4/mmm (No. 123), with a = 3.547 Å, b = 3.547 Å, c = 5.927 Å, α = 90.00°, β = 90.00° and γ = 90.00°. The distinct sites, in fractional coordinates, are Be at (0.000, 0.000, 0.000), Hg at (0.500, 0.500, 0.500), S at (0.000, 0.000, 0.500) and N at (0.000, 0.500, 0.000).

The energy relative to the lowest polymorph listed for this composition comes out at 0.0000 eV per atom. The value obtained for the uncorrected formation energy is 1.163 eV/atom. For the spin magnetization, the calculation gives 2.0 μB/cell. For the density of states at the Fermi level, the calculation gives 0.397 states/eV per atom.



Record 4
Computed, not measured: a relaxed structure of Sc2BeHgN at the GGA-PBE level of DFT.

It has space group P4/mmm (No. 123), with a = 4.653 Å, b = 4.653 Å, c = 3.488 Å, α = 90.00°, β = 90.00° and γ = 90.00°. The distinct sites, in fractional coordinates, are Sc at (0.000, 0.500, 0.000), Be at (0.000, 0.000, 0.500), Hg at (0.500, 0.500, 0.500) and N at (0.000, 0.000, 0.000).

The value obtained for the uncorrected formation energy is -0.762 eV/atom. For the spin magnetization, the calculation gives 0.0 μB/cell. For the density of states at the Fermi level, the calculation gives 0.403 states/eV per atom.



Record 5
Computed, not measured: a relaxed structure of SrBeHg2N at the GGA-PBE level of DFT.

It has space group P4/mmm (No. 123), with a = 6.689 Å, b = 6.689 Å, c = 6.158 Å, α = 90.00°, β = 90.00° and γ = 90.00°. The distinct sites, in fractional coordinates, are Sr at (0.000, 0.000, 0.000), Be at (0.000, 0.000, 0.500), Hg at (0.000, 0.500, 0.000) and N at (0.500, 0.500, 0.500).

The value obtained for the uncorrected formation energy is 1.696 eV/atom. For the spin magnetization, the calculation gives 2.3 μB/cell. For the density of states at the Fermi level, the calculation gives 1.213 states/eV per atom.



Record 6
Computed, not measured: a relaxed structure of TaBe2HgN at the GGA-PBE level of DFT.

It has space group P4/mmm (No. 123), with a = 4.878 Å, b = 4.878 Å, c = 3.937 Å, α = 90.00°, β = 90.00° and γ = 90.00°. The distinct sites, in fractional coordinates, are Ta at (0.000, 0.000, 0.000), Be at (0.000, 0.500, 0.000), Hg at (0.500, 0.500, 0.500) and N at (0.000, 0.000, 0.500).

The value obtained for the uncorrected formation energy is 0.949 eV/atom. For the spin magnetization, the calculation gives 0.0 μB/cell. For the density of states at the Fermi level, the calculation gives 0.614 states/eV per atom.



Record 7
Computed, not measured: a relaxed structure of NaBe2Hg2 at the GGA-PBE level of DFT.

It has space group I4/mmm (No. 139), with a = 3.783 Å, b = 3.783 Å, c = 12.702 Å, α = 90.00°, β = 90.00° and γ = 90.00°. The distinct sites, in fractional coordinates, are Na at (0.000, 0.000, 0.000), Be at (0.000, 0.500, 0.250) and Hg at (0.000, 0.000, 0.380).

The energy relative to the lowest polymorph listed for this composition comes out at 0.0135 eV per atom. For the spin magnetization, the calculation gives 0.0 μB/cell. For the density of states at the Fermi level, the calculation gives 0.499 states/eV per atom. Its energy relative to the elements is 0.29 eV/atom.



Record 8
Computed, not measured: a relaxed structure of NaBe2Hg2 at the GGA-PBE level of DFT.

It has space group P4/mbm (No. 127), with a = 7.382 Å, b = 7.382 Å, c = 3.097 Å, α = 90.00°, β = 90.00° and γ = 90.00°. The distinct sites, in fractional coordinates, are Na at (0.000, 0.000, 0.000), Be at (0.107, 0.393, 0.000) and Hg at (0.190, 0.690, 0.500).

The energy relative to the lowest polymorph listed for this composition comes out at 0.0000 eV per atom. For the spin magnetization, the calculation gives 0.0 μB/cell. For the density of states at the Fermi level, the calculation gives 0.180 states/eV per atom. Its energy relative to the elements is 0.28 eV/atom.



Record 9
Computed, not measured: a relaxed structure of NaBeHg3 at the GGA-PBE level of DFT.

It has space group Pm-3m (No. 221), with a = 5.752 Å, b = 5.752 Å, c = 5.752 Å, α = 90.00°, β = 90.00° and γ = 90.00°. The distinct sites, in fractional coordinates, are Na at (0.000, 0.000, 0.000), Be at (0.500, 0.500, 0.500) and Hg at (0.000, 0.000, 0.500).

The energy relative to the lowest polymorph listed for this composition comes out at 0.7075 eV per atom. For the spin magnetization, the calculation gives 0.0 μB/cell. For the density of states at the Fermi level, the calculation gives 0.512 states/eV per atom. Its energy relative to the elements is 0.73 eV/atom.



Record 10
Computed, not measured: a relaxed structure of NaBeHg2 at the GGA-PBE level of DFT.

It has space group I-42d (No. 122), with a = 5.570 Å, b = 5.570 Å, c = 14.930 Å, α = 90.00°, β = 90.00° and γ = 90.00°. The distinct sites, in fractional coordinates, are Na at (0.000, 0.000, 0.000), Be at (0.000, 0.000, 0.500) and Hg at (0.098, 0.250, 0.625).

For the spin magnetization, the calculation gives 0.0 μB/cell. For the density of states at the Fermi level, the calculation gives 0.506 states/eV per atom. Its energy relative to the elements is 0.27 eV/atom.



Record 11
Computed, not measured: a relaxed structure of NaBeHg3 at the GGA-PBE level of DFT.

It has space group Pm-3m (No. 221), with a = 4.882 Å, b = 4.882 Å, c = 4.882 Å, α = 90.00°, β = 90.00° and γ = 90.00°. The distinct sites, in fractional coordinates, are Na at (0.000, 0.000, 0.000), Be at (0.500, 0.500, 0.500) and Hg at (0.000, 0.500, 0.500).

The energy relative to the lowest polymorph listed for this composition comes out at 0.0000 eV per atom. For the spin magnetization, the calculation gives 0.0 μB/cell. For the density of states at the Fermi level, the calculation gives 0.336 states/eV per atom. Its energy relative to the elements is 0.02 eV/atom.



Record 12
Computed, not measured: a relaxed structure of NaBeHg2Pt at the GGA-PBE level of DFT.

It has space group P4/mmm (No. 123), with a = 4.805 Å, b = 4.805 Å, c = 4.383 Å, α = 90.00°, β = 90.00° and γ = 90.00°. The distinct sites, in fractional coordinates, are Na at (0.000, 0.000, 0.000), Be at (0.500, 0.500, 0.500), Hg at (0.000, 0.500, 0.500) and Pt at (0.500, 0.500, 0.000).

For the spin magnetization, the calculation gives 0.0 μB/cell. For the density of states at the Fermi level, the calculation gives 0.409 states/eV per atom. Its energy relative to the elements is -0.03 eV/atom.



Record 13
Computed, not measured: a relaxed structure of NaBe2SnHg at the GGA-PBE level of DFT.

It has space group P4/mmm (No. 123), with a = 4.790 Å, b = 4.790 Å, c = 5.492 Å, α = 90.00°, β = 90.00° and γ = 90.00°. The distinct sites, in fractional coordinates, are Na at (0.000, 0.000, 0.000), Be at (0.000, 0.500, 0.000), Sn at (0.000, 0.000, 0.500) and Hg at (0.500, 0.500, 0.500).

For the spin magnetization, the calculation gives 0.0 μB/cell. For the density of states at the Fermi level, the calculation gives 0.563 states/eV per atom. Its energy relative to the elements is 1.37 eV/atom.



Record 14
Computed, not measured: a relaxed structure of BeNbHg3 at the GGA-PBE level of DFT.

It has space group Pm-3m (No. 221), with a = 5.619 Å, b = 5.619 Å, c = 5.619 Å, α = 90.00°, β = 90.00° and γ = 90.00°. The distinct sites, in fractional coordinates, are Be at (0.000, 0.000, 0.000), Nb at (0.500, 0.500, 0.500) and Hg at (0.000, 0.500, 0.500).

The energy relative to the lowest polymorph listed for this composition comes out at 0.5648 eV per atom. For the spin magnetization, the calculation gives 3.9 μB/cell. For the density of states at the Fermi level, the calculation gives 0.703 states/eV per atom. Its energy relative to the elements is 1.32 eV/atom.



Record 15
Computed, not measured: a relaxed structure of Be2Nb2Hg at the GGA-PBE level of DFT.

It has space group P4/mbm (No. 127), with a = 7.503 Å, b = 7.503 Å, c = 2.856 Å, α = 90.00°, β = 90.00° and γ = 90.00°. The distinct sites, in fractional coordinates, are Be at (0.171, 0.329, 0.000), Nb at (0.127, 0.627, 0.500) and Hg at (0.000, 0.000, 0.500).

The energy relative to the lowest polymorph listed for this composition comes out at 0.0000 eV per atom. For the spin magnetization, the calculation gives 0.0 μB/cell. For the density of states at the Fermi level, the calculation gives 0.695 states/eV per atom. Its energy relative to the elements is 0.41 eV/atom.



Record 16
Computed, not measured: a relaxed structure of BeNbHg3 at the GGA-PBE level of DFT.

It has space group Pm-3m (No. 221), with a = 4.621 Å, b = 4.621 Å, c = 4.621 Å, α = 90.00°, β = 90.00° and γ = 90.00°. The distinct sites, in fractional coordinates, are Be at (0.000, 0.000, 0.000), Nb at (0.500, 0.500, 0.500) and Hg at (0.000, 0.000, 0.500).

The energy relative to the lowest polymorph listed for this composition comes out at 0.0000 eV per atom. For the spin magnetization, the calculation gives 0.1 μB/cell. For the density of states at the Fermi level, the calculation gives 0.621 states/eV per atom. Its energy relative to the elements is 0.75 eV/atom.



Record 17
Computed, not measured: a relaxed structure of Be2NbHg at the GGA-PBE level of DFT.

It has space group I-42d (No. 122), with a = 6.583 Å, b = 6.583 Å, c = 5.644 Å, α = 90.00°, β = 90.00° and γ = 90.00°. The distinct sites, in fractional coordinates, are Be at (0.237, 0.250, 0.125), Nb at (0.000, 0.000, 0.500) and Hg at (0.000, 0.000, 0.000).

For the spin magnetization, the calculation gives 0.0 μB/cell. For the density of states at the Fermi level, the calculation gives 0.606 states/eV per atom. Its energy relative to the elements is 0.59 eV/atom.



Record 18
Computed, not measured: a relaxed structure of BeNbHg2 at the GGA-PBE level of DFT.

It has space group I-42d (No. 122), with a = 3.953 Å, b = 3.953 Å, c = 20.008 Å, α = 90.00°, β = 90.00° and γ = 90.00°. The distinct sites, in fractional coordinates, are Be at (0.000, 0.000, 0.000), Nb at (0.000, 0.000, 0.500) and Hg at (0.241, 0.250, 0.125).

For the spin magnetization, the calculation gives 0.0 μB/cell. For the density of states at the Fermi level, the calculation gives 0.667 states/eV per atom. Its energy relative to the elements is 0.72 eV/atom.



Record 19
Computed, not measured: a relaxed structure of Be3NbHg at the GGA-PBE level of DFT.

It has space group Pm-3m (No. 221), with a = 4.491 Å, b = 4.491 Å, c = 4.491 Å, α = 90.00°, β = 90.00° and γ = 90.00°. The distinct sites, in fractional coordinates, are Be at (0.000, 0.000, 0.500), Nb at (0.000, 0.000, 0.000) and Hg at (0.500, 0.500, 0.500).

The energy relative to the lowest polymorph listed for this composition comes out at 0.4191 eV per atom. For the spin magnetization, the calculation gives 0.0 μB/cell. For the density of states at the Fermi level, the calculation gives 0.692 states/eV per atom. Its energy relative to the elements is 1.51 eV/atom.



Record 20
Computed, not measured: a relaxed structure of Be3NbHg at the GGA-PBE level of DFT.

It has space group Pm-3m (No. 221), with a = 4.285 Å, b = 4.285 Å, c = 4.285 Å, α = 90.00°, β = 90.00° and γ = 90.00°. The distinct sites, in fractional coordinates, are Be at (0.000, 0.000, 0.500), Nb at (0.500, 0.500, 0.500) and Hg at (0.000, 0.000, 0.000).

The energy relative to the lowest polymorph listed for this composition comes out at 0.0000 eV per atom. For the spin magnetization, the calculation gives 0.0 μB/cell. For the density of states at the Fermi level, the calculation gives 0.501 states/eV per atom. Its energy relative to the elements is 1.09 eV/atom.